[1]
VASP calculation (GGA-PBEsol) on an optimized crystal structure of La2ScAgAs.

POSCAR file:
```
La2ScAgAs
1.0
5.6247 0.0000 0.0000
0.0000 5.6247 0.0000
0.0000 0.0000 5.0385
La Sc Ag As
2 1 1 1
Direct
0.0000 0.5000 0.0000
0.5000 0.0000 0.0000
0.0000 0.0000 0.5000
0.0000 0.0000 0.0000
0.5000 0.5000 0.5000
```

Summary:
As for the size of the total moment: 0.0 μB/cell. For the calculated total energy, the calculation gives -25.00 eV/cell. The crystal system is tetragonal.


[2]
VASP calculation (GGA-PBEsol) on an optimized crystal structure of LiAgAs2.

POSCAR file:
```
LiAgAs2
1.0
4.1298 0.0000 0.0000
0.0000 2.9117 0.0000
0.0000 0.0000 11.4210
Li Ag As
2 2 4
Direct
0.0000 0.0000 0.0000
0.0000 0.5000 0.5000
0.0000 0.0000 0.2574
0.0000 0.5000 0.7574
0.5000 0.0000 0.4156
0.5000 0.0000 0.6391
0.5000 0.5000 0.1391
0.5000 0.5000 0.9156
```

Summary:
As for the energy above the most stable polymorph in this dataset: 0 meV/atom. As for the size of the total moment: 0.0 μB/cell. The crystal system is orthorhombic.


[3]
VASP calculation (GGA-PBEsol) on an optimized crystal structure of Li2AgAs.

POSCAR file:
```
Li2AgAs
1.0
5.9402 0.0000 0.0000
0.0000 6.1819 0.0000
0.0000 0.0000 3.2037
Li Ag As
4 2 2
Direct
0.2500 0.2500 0.0000
0.2500 0.7500 0.0000
0.7500 0.2500 0.0000
0.7500 0.7500 0.0000
0.0000 0.0000 0.5000
0.5000 0.5000 0.5000
0.0000 0.5000 0.5000
0.5000 0.0000 0.5000
```

Summary:
As for the size of the total moment: 0.0 μB/cell. For the calculated total energy, the calculation gives -27.57 eV/cell. The crystal system is orthorhombic.


[4]
VASP calculation (GGA-PBEsol) on an optimized crystal structure of Li2AgAs.

POSCAR file:
```
Li2AgAs
1.0
7.2696 0.0000 0.0000
0.0000 7.2696 0.0000
0.0000 0.0000 5.1679
Li Ag As
8 4 4
Direct
0.2288 0.7500 0.1250
0.2500 0.2288 0.8750
0.2500 0.2712 0.3750
0.2712 0.7500 0.6250
0.7288 0.2500 0.6250
0.7500 0.7288 0.3750
0.7500 0.7712 0.8750
0.7712 0.2500 0.1250
0.0000 0.0000 0.5000
0.0000 0.5000 0.7500
0.5000 0.0000 0.2500
0.5000 0.5000 0.0000
0.0000 0.0000 0.0000
0.0000 0.5000 0.2500
0.5000 0.0000 0.7500
0.5000 0.5000 0.5000
```

Summary:
As for the size of the total moment: 0.0 μB/cell. For the calculated total energy, the calculation gives -52.14 eV/cell. The crystal system is tetragonal.


[5]
VASP calculation (GGA-PBEsol) on an optimized crystal structure of Li2AgAs.

POSCAR file:
```
Li2AgAs
1.0
4.1021 0.0000 0.0000
0.0000 4.1021 0.0000
0.0000 0.0000 7.0574
Li Ag As
4 2 2
Direct
0.0000 0.5000 0.2500
0.0000 0.5000 0.7500
0.5000 0.0000 0.2500
0.5000 0.0000 0.7500
0.0000 0.0000 0.0000
0.5000 0.5000 0.5000
0.0000 0.0000 0.5000
0.5000 0.5000 0.0000
```

Summary:
As for the size of the total moment: 0.0 μB/cell. For the calculated total energy, the calculation gives -28.18 eV/cell. The crystal system is tetragonal.


[6]
VASP calculation (GGA-PBEsol) on an optimized crystal structure of Li3AgAs.

POSCAR file:
```
Li3AgAs
1.0
4.7042 0.0000 0.0000
0.0000 4.7042 0.0000
0.0000 0.0000 4.7042
Li Ag As
3 1 1
Direct
0.0000 0.0000 0.5000
0.0000 0.5000 0.0000
0.5000 0.0000 0.0000
0.5000 0.5000 0.5000
0.0000 0.0000 0.0000
```

Summary:
As for the size of the total moment: 0.0 μB/cell. For the calculated total energy, the calculation gives -14.87 eV/cell. The crystal system is cubic.


[7]
VASP calculation (GGA-PBEsol) on an optimized crystal structure of Li4AgAs.

POSCAR file:
```
Li4AgAs
1.0
0.0000 3.5603 3.5603
3.5603 0.0000 3.5603
3.5603 3.5603 0.0000
Li Ag As
4 1 1
Direct
0.1246 0.1246 0.1246
0.1246 0.1246 0.6261
0.1246 0.6261 0.1246
0.6261 0.1246 0.1246
0.5000 0.5000 0.5000
0.7500 0.7500 0.7500
```

Summary:
As for the size of the total moment: 0.0 μB/cell. For the calculated total energy, the calculation gives -16.88 eV/cell. The crystal system is cubic.


[8]
VASP calculation (GGA-PBEsol) on an optimized crystal structure of LiAgAs2.

POSCAR file:
```
LiAgAs2
1.0
2.7415 0.0000 0.0000
0.0000 2.7415 0.0000
0.0000 0.0000 9.1388
Li Ag As
1 1 2
Direct
0.0000 0.0000 0.0000
0.5000 0.5000 0.2286
0.0000 0.0000 0.4686
0.5000 0.5000 0.7885
```

Summary:
As for the energy above the most stable polymorph in this dataset: 133 meV/atom. As for the size of the total moment: 0.0 μB/cell. The crystal system is tetragonal.


[9]
VASP calculation (GGA-PBEsol) on an optimized crystal structure of LiAgAs2.

POSCAR file:
```
LiAgAs2
1.0
7.4013 0.0000 0.0000
0.0000 7.4013 0.0000
0.0000 0.0000 5.3490
Li Ag As
4 4 8
Direct
0.0000 0.0000 0.0000
0.0000 0.5000 0.2500
0.5000 0.0000 0.7500
0.5000 0.5000 0.5000
0.0000 0.0000 0.5000
0.0000 0.5000 0.7500
0.5000 0.0000 0.2500
0.5000 0.5000 0.0000
0.2285 0.7500 0.6250
0.2500 0.2285 0.3750
0.2500 0.2715 0.8750
0.2715 0.7500 0.1250
0.7285 0.2500 0.1250
0.7500 0.7285 0.8750
0.7500 0.7715 0.3750
0.7715 0.2500 0.6250
```

Summary:
As for the energy above the most stable polymorph in this dataset: 183 meV/atom. As for the size of the total moment: 0.0 μB/cell. The crystal system is tetragonal.


[10]
VASP calculation (GGA-PBEsol) on an optimized crystal structure of LiAgAs2S.

POSCAR file:
```
LiAgAs2S
1.0
4.8727 0.0000 0.0000
0.0000 4.8727 0.0000
0.0000 0.0000 4.6896
Li Ag As S
1 1 2 1
Direct
0.0000 0.0000 0.0000
0.5000 0.5000 0.0000
0.0000 0.5000 0.5000
0.5000 0.0000 0.5000
0.5000 0.5000 0.5000
```

Summary:
As for the size of the total moment: 0.0 μB/cell. The uncorrected formation energy is 0.44 eV/atom. The crystal system is tetragonal.


[11]
VASP calculation (GGA-PBEsol) on an optimized crystal structure of LiSi2AgAs.

POSCAR file:
```
LiSi2AgAs
1.0
4.7542 0.0000 0.0000
0.0000 4.7542 0.0000
0.0000 0.0000 4.4755
Li Si Ag As
1 2 1 1
Direct
0.0000 0.0000 0.0000
0.0000 0.5000 0.5000
0.5000 0.0000 0.5000
0.5000 0.5000 0.0000
0.0000 0.0000 0.5000
```

Summary:
As for the size of the total moment: 0.0 μB/cell. The uncorrected formation energy is 0.64 eV/atom. The crystal system is tetragonal.


[12]
VASP calculation (GGA-PBEsol) on an optimized crystal structure of MgAgAs.

POSCAR file:
```
MgAgAs
1.0
3.1898 0.0000 0.0000
0.0000 4.0008 0.0000
0.0000 0.0000 8.6063
Mg Ag As
2 2 2
Direct
0.0000 0.0000 0.0000
0.5000 0.5000 0.5000
0.0000 0.0000 0.6695
0.5000 0.5000 0.1695
0.0000 0.0000 0.3385
0.5000 0.5000 0.8385
```

Summary:
As for the size of the total moment: 0.0 μB/cell. For the calculated total energy, the calculation gives -20.99 eV/cell. The crystal system is orthorhombic.